(1)
A relaxed Ba6HN2 crystal. Source: Alexandria via LeMat-Bulk, functional PBE-GGA.

a b c (Å): 8.606 8.606 9.958
angles (deg): 109.11 109.11 28.15
Atoms (fractional coordinates):
1 Ba 0.048 0.048 0.297
2 Ba 0.292 0.292 0.377
3 Ba 0.360 0.360 0.945
4 Ba 0.640 0.640 0.055
5 Ba 0.708 0.708 0.623
6 Ba 0.952 0.952 0.703
7 H 0.000 0.000 0.000
8 N 0.337 0.337 0.666
9 N 0.663 0.663 0.334

## Properties
spin magnetization: 0.0 Bohr magnetons per cell
symmetry: C2/m, No. 12
energy above the lowest structure with this stoichiometry: 0 meV per atom
calculated total energy: -0.279 Ry/atom

---

(2)
A relaxed Ba8HN2 crystal. Source: Alexandria via LeMat-Bulk, functional PBE-GGA.

a b c (Å): 8.924 8.924 6.971
angles (deg): 90.61 90.61 77.05
Atoms (fractional coordinates):
1 Ba 0.076 0.696 0.770
2 Ba 0.164 0.164 0.708
3 Ba 0.304 0.924 0.230
4 Ba 0.366 0.366 0.269
5 Ba 0.634 0.634 0.731
6 Ba 0.696 0.076 0.770
7 Ba 0.836 0.836 0.292
8 Ba 0.924 0.304 0.230
9 H 0.000 0.000 0.000
10 N 0.191 0.191 0.350
11 N 0.809 0.809 0.650

## Properties
spin magnetization: 0.0 Bohr magnetons per cell
symmetry: C2/m, No. 12
calculated total energy: -0.256 Ry/atom

---

(3)
A relaxed Ba4H3N crystal. Source: Alexandria via LeMat-Bulk, functional PBE-GGA.

a b c (Å): 7.077 7.077 4.144
angles (deg): 90.00 90.00 107.66
Atoms (fractional coordinates):
1 Ba 0.233 0.233 0.500
2 Ba 0.235 0.765 0.000
3 Ba 0.765 0.235 0.000
4 Ba 0.767 0.767 0.500
5 H 0.000 0.500 0.500
6 H 0.500 0.000 0.500
7 H 0.500 0.500 0.000
8 N 0.000 0.000 0.000

## Properties
spin magnetization: 1.6 Bohr magnetons per cell
symmetry: Cmmm, No. 65
calculated total energy: -0.265 Ry/atom

---

(4)
A relaxed BaH4N2 crystal. Source: Alexandria via LeMat-Bulk, functional PBE-GGA.

a b c (Å): 7.289 7.289 4.303
angles (deg): 90.00 90.00 90.00
Atoms (fractional coordinates):
1 Ba 0.000 0.000 0.000
2 Ba 0.500 0.500 0.500
3 H 0.155 0.316 0.500
4 H 0.184 0.655 0.000
5 H 0.316 0.155 0.500
6 H 0.345 0.816 0.000
7 H 0.655 0.184 0.000
8 H 0.684 0.845 0.500
9 H 0.816 0.345 0.000
10 H 0.845 0.684 0.500
11 N 0.176 0.176 0.500
12 N 0.324 0.676 0.000
13 N 0.676 0.324 0.000
14 N 0.824 0.824 0.500

## Properties
spin magnetization: 0.0 Bohr magnetons per cell
symmetry: P4_2/mnm, No. 136
energy above the lowest structure with this stoichiometry: 6 meV per atom
calculated total energy: -0.371 Ry/atom